[1]
Material: Tb6Pm2PrDy
Method: DFT, PBE
State: optimized geometry

Unit cell a=9.736 b=8.834 c=8.834 alpha=117.94 beta=94.29 gamma=94.29
Fractional positions:
Tb 0.057 0.122 0.743
Tb 0.443 0.257 0.878
Tb 0.943 0.878 0.257
Tb 0.557 0.743 0.122
Tb 0.315 0.981 0.430
Tb 0.185 0.570 0.019
Tb 0.685 0.019 0.570
Tb 0.815 0.430 0.981
Tb 0.120 0.705 0.492
Tb 0.380 0.508 0.295
Tb 0.880 0.295 0.508
Tb 0.620 0.492 0.705
Pm 0.457 0.804 0.702
Pm 0.043 0.298 0.196
Pm 0.543 0.196 0.298
Pm 0.957 0.702 0.804
Pr 0.250 0.980 0.020
Pr 0.750 0.020 0.980
Dy 0.250 0.408 0.592
Dy 0.750 0.592 0.408

Energy of formation from the pure elements: 0.1163 eV per atom
SG: C2/c, No. 15
Energy: -4.55 eV per atom



[2]
Material: TbPm2PrDy
Method: DFT, PBE
State: optimized geometry

Unit cell a=6.691 b=8.334 c=6.241 alpha=91.48 beta=90.00 gamma=90.00
Fractional positions:
Tb 0.573 0.000 0.250
Tb 0.427 0.000 0.750
Pm 0.691 0.692 0.758
Pm 0.691 0.308 0.742
Pm 0.309 0.692 0.258
Pm 0.309 0.308 0.242
Pr 0.000 0.000 0.000
Pr 0.000 0.000 0.500
Dy 0.160 0.500 0.750
Dy 0.840 0.500 0.250

Energy of formation from the pure elements: 0.2738 eV per atom
SG: P2/c, No. 13
Energy: -4.43 eV per atom



[3]
Material: Tb2Pm3Pr6Dy
Method: DFT, PBE
State: optimized geometry

Unit cell a=6.356 b=6.356 c=12.051 alpha=95.04 beta=95.04 gamma=120.02
Fractional positions:
Tb 0.333 0.667 0.000
Tb 0.667 0.333 0.000
Pm 0.167 0.833 0.500
Pm 0.833 0.167 0.500
Pm 0.500 0.500 0.500
Pr 0.917 0.584 0.753
Pr 0.750 0.750 0.247
Pr 0.083 0.416 0.247
Pr 0.584 0.917 0.753
Pr 0.250 0.250 0.753
Pr 0.416 0.083 0.247
Dy 0.000 0.000 0.000

Energy of formation from the pure elements: 0.0121 eV per atom
SG: C2/m, No. 12
Energy: -4.72 eV per atom



[4]
Material: TbPm2Pr5Dy
Method: DFT, PBE
State: optimized geometry

Unit cell a=8.741 b=8.741 c=10.350 alpha=114.98 beta=114.98 gamma=90.00
Fractional positions:
Tb 0.250 0.750 0.500
Tb 0.750 0.250 0.500
Pm 0.120 0.380 0.000
Pm 0.620 0.120 0.000
Pm 0.380 0.880 0.000
Pm 0.880 0.620 0.000
Pr 0.930 0.430 0.284
Pr 0.646 0.146 0.716
Pr 0.070 0.570 0.716
Pr 0.146 0.070 0.716
Pr 0.570 0.646 0.716
Pr 0.854 0.930 0.284
Pr 0.430 0.354 0.284
Pr 0.354 0.854 0.284
Pr 0.500 0.500 0.000
Pr 0.000 0.000 0.000
Dy 0.250 0.250 0.500
Dy 0.750 0.750 0.500

Energy of formation from the pure elements: 0.2755 eV per atom
SG: I4/mcm, No. 140
Energy: -4.46 eV per atom



[5]
Material: Tb2PmPr6Dy
Method: DFT, PBE
State: optimized geometry

Unit cell a=9.800 b=9.020 c=9.020 alpha=117.56 beta=94.05 gamma=94.05
Fractional positions:
Tb 0.454 0.800 0.704
Tb 0.046 0.296 0.200
Tb 0.546 0.200 0.296
Tb 0.954 0.704 0.800
Pm 0.250 0.974 0.026
Pm 0.750 0.026 0.974
Pr 0.055 0.115 0.758
Pr 0.445 0.242 0.885
Pr 0.945 0.885 0.242
Pr 0.555 0.758 0.115
Pr 0.312 0.991 0.435
Pr 0.188 0.565 0.009
Pr 0.688 0.009 0.565
Pr 0.812 0.435 0.991
Pr 0.118 0.705 0.490
Pr 0.382 0.510 0.295
Pr 0.882 0.295 0.510
Pr 0.618 0.490 0.705
Dy 0.250 0.410 0.590
Dy 0.750 0.590 0.410

Energy of formation from the pure elements: 0.1128 eV per atom
SG: C2/c, No. 15
Energy: -4.62 eV per atom



[6]
Material: TbPm6Pr3Dy2
Method: DFT, PBE
State: optimized geometry

Unit cell a=6.314 b=6.314 c=12.064 alpha=95.02 beta=95.02 gamma=120.01
Fractional positions:
Tb 0.000 0.000 0.000
Pm 0.918 0.584 0.755
Pm 0.749 0.749 0.245
Pm 0.082 0.416 0.245
Pm 0.584 0.918 0.755
Pm 0.251 0.251 0.755
Pm 0.416 0.082 0.245
Pr 0.167 0.833 0.500
Pr 0.833 0.167 0.500
Pr 0.500 0.500 0.500
Dy 0.333 0.667 0.000
Dy 0.667 0.333 0.000

Energy of formation from the pure elements: 0.0162 eV per atom
SG: C2/m, No. 12
Energy: -4.71 eV per atom



[7]
Material: Tb2PmPrDy
Method: DFT, PBE
State: optimized geometry

Unit cell a=7.181 b=8.459 c=7.197 alpha=125.99 beta=90.00 gamma=90.00
Fractional positions:
Tb 0.500 0.313 0.000
Tb 0.000 0.687 0.000
Tb 0.500 0.687 0.000
Tb 0.000 0.313 0.000
Pm 0.250 0.998 0.996
Pm 0.750 0.002 0.004
Pr 0.250 0.730 0.460
Pr 0.750 0.270 0.540
Dy 0.750 0.724 0.448
Dy 0.250 0.276 0.552

Energy of formation from the pure elements: 0.3778 eV per atom
SG: Cmcm, No. 63
Energy: -4.30 eV per atom



[8]
Material: TbPm4Pr2Dy2
Method: DFT, PBE
State: optimized geometry

Unit cell a=5.142 b=8.131 c=8.098 alpha=107.58 beta=90.00 gamma=108.44
Fractional positions:
Tb 0.000 0.000 0.000
Pm 0.779 0.557 0.670
Pm 0.221 0.443 0.330
Pm 0.556 0.111 0.330
Pm 0.444 0.889 0.670
Pr 0.888 0.777 0.331
Pr 0.112 0.223 0.669
Dy 0.333 0.667 0.000
Dy 0.667 0.333 0.000

Energy of formation from the pure elements: 0.0183 eV per atom
SG: C2/m, No. 12
Energy: -4.69 eV per atom



[9]
Material: Tb2PmPrDy6
Method: DFT, PBE
State: optimized geometry

Unit cell a=9.616 b=8.819 c=8.819 alpha=117.75 beta=93.82 gamma=93.82
Fractional positions:
Tb 0.454 0.805 0.701
Tb 0.046 0.299 0.195
Tb 0.546 0.195 0.299
Tb 0.954 0.701 0.805
Pm 0.250 0.408 0.592
Pm 0.750 0.592 0.408
Pr 0.250 0.974 0.026
Pr 0.750 0.026 0.974
Dy 0.057 0.121 0.748
Dy 0.443 0.252 0.879
Dy 0.943 0.879 0.252
Dy 0.557 0.748 0.121
Dy 0.318 0.977 0.432
Dy 0.182 0.568 0.023
Dy 0.682 0.023 0.568
Dy 0.818 0.432 0.977
Dy 0.119 0.707 0.491
Dy 0.381 0.509 0.293
Dy 0.881 0.293 0.509
Dy 0.619 0.491 0.707

Energy of formation from the pure elements: 0.1221 eV per atom
SG: C2/c, No. 15
Energy: -4.52 eV per atom



[10]
Material: Tb2Pm2PrDy2
Method: DFT, PBE
State: optimized geometry

Unit cell a=5.094 b=6.231 c=8.069 alpha=97.42 beta=90.00 gamma=114.13
Fractional positions:
Tb 0.572 0.143 0.715
Tb 0.428 0.857 0.285
Pm 0.143 0.286 0.429
Pm 0.857 0.714 0.571
Pr 0.000 0.000 0.000
Dy 0.715 0.430 0.142
Dy 0.285 0.570 0.858

Energy of formation from the pure elements: 0.0158 eV per atom
SG: C2/m, No. 12
Energy: -4.66 eV per atom